Record 1
DFT (PBE-GGA) results for YBeAu3 after structural relaxation.

Cell: 7.0844 8.8888 6.1398 Å, 90.00 90.00 90.00°
Last column: nearest neighbours and their distance in Å.
Element x y z (fractional)
Au  0.2528  0.0005  0.2541  2 Be 2.34-2.35
Au  0.2472  0.9995  0.7541  2 Be 2.34-2.35
Au  0.7528  0.0005  0.2459  2 Be 2.34-2.35
Au  0.7528  0.4995  0.2459  2 Be 2.34-2.35
Au  0.9129  0.7500  0.4955  2 Be 2.31
Au  0.2472  0.5005  0.7541  2 Be 2.34-2.35
Au  0.4129  0.7500  0.0045  2 Be 2.31
Au  0.7472  0.9995  0.7459  2 Be 2.34-2.35
Au  0.5871  0.2500  0.9955  2 Be 2.31
Au  0.2528  0.4995  0.2541  2 Be 2.34-2.35
Au  0.7472  0.5005  0.7459  2 Be 2.34-2.35
Au  0.0871  0.2500  0.5045  2 Be 2.31
Be  0.0000  0.5000  0.5000  6 Au 2.31-2.35
Be  0.5000  0.0000  0.0000  6 Au 2.31-2.35
Be  0.5000  0.5000  0.0000  6 Au 2.31-2.35
Be  0.0000  0.0000  0.5000  6 Au 2.31-2.35
Y  0.4866  0.7500  0.5042  11 Au 3.02-3.32
Y  0.0134  0.2500  0.0042  11 Au 3.02-3.32
Y  0.5134  0.2500  0.4958  11 Au 3.02-3.32
Y  0.9866  0.7500  0.9958  11 Au 3.02-3.32

Computed properties:
Its energy above the most stable polymorph in this dataset is 100.1 meV per atom. For the formation energy from the elements, the calculation gives -467 meV per atom. The energy is -22.356 eV/f.u.


Record 2
DFT (PBE-GGA) results for PrAl2Ga2 after structural relaxation.

Cell: 5.1558 5.2064 5.2064 Å, 120.00 90.00 90.00°
Last column: nearest neighbours and their distance in Å.
Element x y z (fractional)
Ga  0.0154  0.3333  0.6667  2 Al 2.57-2.59
Ga  0.9846  0.6667  0.3333  2 Al 2.57-2.59
Pr  0.0000  0.0000  0.0000  6 Ga 3.01
Al  0.5138  0.3333  0.6667  2 Ga 2.57-2.59
Al  0.4862  0.6667  0.3333  2 Ga 2.57-2.59

Computed properties:
For the formation energy from the elements, the calculation gives 110 meV per atom. The energy is -17.770 eV/f.u.


Record 3
DFT (PBE-GGA) results for Tb3PrSm2Tm6 after structural relaxation.

Cell: 6.1539 6.1539 11.6790 Å, 95.02 95.02 119.96°
Last column: nearest neighbours and their distance in Å.
Element x y z (fractional)
Tb  0.5000  0.5000  0.5000  6 Tm 3.51, 6 Tb 3.55
Tb  0.8333  0.1667  0.5000  6 Tm 3.51, 6 Tb 3.55
Tb  0.1667  0.8333  0.5000  6 Tm 3.51, 6 Tb 3.55
Tm  0.4183  0.0847  0.2525  3 Tb 3.51, 6 Tm 3.55-3.56, 2 Sm 3.55-3.56, 1 Pr 3.56
Tm  0.9153  0.5817  0.7475  3 Tb 3.51, 6 Tm 3.55-3.56, 2 Sm 3.55-3.56, 1 Pr 3.56
Tm  0.7509  0.7509  0.2524  3 Tb 3.51, 6 Tm 3.55-3.56, 1 Pr 3.55, 2 Sm 3.56
Tm  0.5817  0.9153  0.7475  3 Tb 3.51, 6 Tm 3.55-3.56, 2 Sm 3.55-3.56, 1 Pr 3.56
Tm  0.2491  0.2491  0.7476  3 Tb 3.51, 6 Tm 3.55-3.56, 1 Pr 3.55, 2 Sm 3.56
Tm  0.0847  0.4183  0.2525  3 Tb 3.51, 6 Tm 3.55-3.56, 2 Sm 3.55-3.56, 1 Pr 3.56
Sm  0.6667  0.3333  0.0000  3 Pr 3.55, 6 Tm 3.55-3.56, 3 Sm 3.55
Sm  0.3333  0.6667  0.0000  3 Pr 3.55, 6 Tm 3.55-3.56, 3 Sm 3.55
Pr  0.0000  0.0000  0.0000  6 Sm 3.55, 6 Tm 3.55-3.56

Computed properties:
For the formation energy from the elements, the calculation gives 20 meV per atom. The energy is -54.692 eV/f.u.


Record 4
DFT (PBE-GGA) results for AcPr4Y after structural relaxation.

Cell: 7.0110 7.0110 11.9661 Å, 90.00 90.00 118.06°
Last column: nearest neighbours and their distance in Å.
Element x y z (fractional)
Y  0.4993  0.4993  0.7500  8 Pr 3.46-3.51, 2 Ac 3.61
Y  0.5007  0.5007  0.2500  8 Pr 3.46-3.51, 2 Ac 3.61
Pr  0.9980  0.4983  0.7500  2 Y 3.50-3.51, 2 Ac 3.50-3.51, 2 Pr 3.61
Pr  0.5017  0.0020  0.2500  2 Y 3.50-3.51, 2 Ac 3.50-3.51, 2 Pr 3.61
Pr  0.2587  0.2587  0.5001  2 Y 3.46, 2 Pr 3.48-3.73, 2 Ac 3.52-3.53
Pr  0.7413  0.7413  0.0001  2 Y 3.46, 2 Pr 3.48-3.73, 2 Ac 3.52-3.53
Pr  0.0020  0.5017  0.2500  2 Y 3.50-3.51, 2 Ac 3.50-3.51, 2 Pr 3.61
Pr  0.2587  0.2587  0.9999  2 Y 3.46, 2 Pr 3.48-3.73, 2 Ac 3.52-3.53
Pr  0.7413  0.7413  0.4999  2 Y 3.46, 2 Pr 3.48-3.73, 2 Ac 3.52-3.53
Pr  0.4983  0.9980  0.7500  2 Y 3.50-3.51, 2 Ac 3.50-3.51, 2 Pr 3.61
Ac  0.0006  0.0006  0.2500  8 Pr 3.50-3.53, 2 Y 3.61
Ac  0.9994  0.9994  0.7500  8 Pr 3.50-3.53, 2 Y 3.61

Computed properties:
Its energy above the most stable polymorph in this dataset is 338.6 meV per atom. For the formation energy from the elements, the calculation gives 497 meV per atom. The energy is -26.706 eV/f.u.


Record 5
DFT (PBE-GGA) results for LiHg2I6 after structural relaxation.

Cell: 8.3559 8.5085 8.5085 Å, 120.00 90.00 90.00°
Last column: nearest neighbours and their distance in Å.
Element x y z (fractional)
Hg  0.2169  0.6667  0.3333  3 I 2.75
Hg  0.7831  0.3333  0.6667  3 I 2.75
I  0.2460  0.8527  0.1473  1 Hg 2.75, 1 Li 2.99
I  0.2460  0.2946  0.1473  1 Hg 2.75, 1 Li 2.99
I  0.7540  0.7054  0.8527  1 Hg 2.75, 1 Li 2.99
I  0.2460  0.8527  0.7054  1 Hg 2.75, 1 Li 2.99
I  0.7540  0.1473  0.8527  1 Hg 2.75, 1 Li 2.99
I  0.7540  0.1473  0.2946  1 Hg 2.75, 1 Li 2.99
Li  0.0000  0.0000  0.0000  6 I 2.99

Computed properties:
Its energy above the most stable polymorph in this dataset is 65.2 meV per atom. The calculation puts the uncorrected formation energy at -0.31 eV per atom. The energy is -14.570 eV/f.u.


Record 6
DFT (PBE-GGA) results for IrBrCl2 after structural relaxation.

Cell: 6.5792 6.5792 6.6566 Å, 60.13 60.13 30.22°
Last column: nearest neighbours and their distance in Å.
Element x y z (fractional)
Br  0.1466  0.1466  0.3466  2 Ir 2.55
Ir  0.4949  0.4949  0.6345  4 Cl 2.41, 2 Br 2.55
Cl  0.9959  0.9959  0.8884  2 Ir 2.41
Cl  0.8626  0.8626  0.6306  2 Ir 2.41

Computed properties:
Its energy above the most stable polymorph in this dataset is 455.1 meV per atom. The calculation puts the uncorrected formation energy at 0.05 eV per atom. The energy is -14.033 eV/f.u.